1.
Computed, not measured: crystalline Cs3TbBi2Te6 at its relaxed geometry at the PBE level of DFT.

**Density of states at the Fermi level**: 0.0 states/eV/cell
**Electronic total energy**: -44.33 eV for the cell shown
**ρ**: 5.794 g cm⁻³
**Raw formation energy**: -0.88 eV per atom

a = 8.0374 Å, b = 8.0374 Å, c = 9.3132 Å
α = 98.27°, β = 98.27°, γ = 119.99°
Element x y z (fractional)
1 Cs 0.0000 0.0000 0.0000
2 Cs 0.3318 0.6682 0.0000
3 Cs 0.6682 0.3318 0.0000
4 Tb 0.5000 0.5000 0.5000
5 Bi 0.1664 0.8336 0.5000
6 Bi 0.8336 0.1664 0.5000
7 Te 0.1072 0.4364 0.3089
8 Te 0.2347 0.2347 0.6916
9 Te 0.4364 0.1072 0.3089
10 Te 0.5636 0.8928 0.6911
11 Te 0.7653 0.7653 0.3084
12 Te 0.8928 0.5636 0.6911

=====

2.
Computed, not measured: crystalline EuHIr at its relaxed geometry at the PBE level of DFT.

**E above lowest polymorph**: 414 meV per atom
**Density of states at the Fermi level**: 4.6 states/eV/cell
**Electronic total energy**: -22.50 eV for the cell shown
**ρ**: 12.098 g cm⁻³

a = 3.5285 Å, b = 3.5285 Å, c = 4.3941 Å
α = 90.00°, β = 90.00°, γ = 120.00°
Element x y z (fractional)
1 Eu 0.0000 0.0000 0.0000
2 H 0.3333 0.6667 0.5000
3 Ir 0.6667 0.3333 0.5000

=====

3.
Computed, not measured: crystalline MgAgO2 at its relaxed geometry at the PBE level of DFT.

**Density of states at the Fermi level**: 1.8 states/eV/cell
**Electronic total energy**: -37.73 eV for the cell shown
**ρ**: 5.014 g cm⁻³
**Raw formation energy**: -1.13 eV per atom

a = 5.3892 Å, b = 5.3892 Å, c = 5.3892 Å
α = 121.11°, β = 121.11°, γ = 88.08°
Element x y z (fractional)
1 Mg 0.0000 0.0000 0.0000
2 Mg 0.7500 0.2500 0.5000
3 Ag 0.2500 0.7500 0.5000
4 Ag 0.5000 0.5000 0.0000
5 O 0.0851 0.6250 0.9601
6 O 0.3750 0.3351 0.4601
7 O 0.6649 0.1250 0.0399
8 O 0.8750 0.9149 0.5399

=====

4.
Computed, not measured: crystalline Ti2HIrPd at its relaxed geometry at the PBE level of DFT.

**E above lowest polymorph**: 4 meV per atom
**Density of states at the Fermi level**: 4.1 states/eV/cell
**Electronic total energy**: -35.92 eV for the cell shown
**ρ**: 10.377 g cm⁻³

a = 4.0778 Å, b = 4.0778 Å, c = 3.8048 Å
α = 90.00°, β = 90.00°, γ = 90.00°
Element x y z (fractional)
1 Ti 0.0000 0.5000 0.0000
2 Ti 0.5000 0.0000 0.0000
3 H 0.0000 0.0000 0.0000
4 Ir 0.0000 0.0000 0.5000
5 Pd 0.5000 0.5000 0.5000

=====

5.
Computed, not measured: crystalline Cs6Au2I3Br at its relaxed geometry at the PBE level of DFT.

**Density of states at the Fermi level**: 0.0 states/eV/cell
**Electronic total energy**: -32.12 eV for the cell shown
**ρ**: 4.118 g cm⁻³
**Raw formation energy**: -1.18 eV per atom

a = 9.3321 Å, b = 9.3321 Å, c = 9.3631 Å
α = 99.56°, β = 99.56°, γ = 119.99°
Element x y z (fractional)
1 Cs 0.0788 0.4101 0.2359
2 Cs 0.2521 0.2521 0.7633
3 Cs 0.4101 0.0788 0.2359
4 Cs 0.5899 0.9212 0.7641
5 Cs 0.7479 0.7479 0.2367
6 Cs 0.9212 0.5899 0.7641
7 Au 0.3336 0.6664 0.0000
8 Au 0.6664 0.3336 0.0000
9 I 0.1674 0.8326 0.5000
10 I 0.5000 0.5000 0.5000
11 I 0.8326 0.1674 0.5000
12 Br 0.0000 0.0000 0.0000